Compound: KBa2V2ClO7
Source: Alexandria
Functional: PBE with a Hubbard U
Structure: relaxed

Unit cell a=5.8860 b=5.8860 c=15.3074 alpha=90.00 beta=90.00 gamma=120.00
Last column: nearest neighbours and their distance in Å.
Space group P6_3mc (No. 186)
Symmetry-distinct sites (fractional):
K 0.3333 0.6667 0.0000 (multiplicity 2)  9 O 2.89-3.02, 1 Cl 3.08
Ba 0.3333 0.6667 0.3030 (multiplicity 2)  6 O 2.93-2.95
Ba 0.3333 0.6667 0.5946 (multiplicity 2)  9 O 2.76-3.06
V 0.0000 0.0000 0.1848 (multiplicity 2)  4 O 1.72-1.82
V 0.0000 0.0000 0.4221 (multiplicity 2)  4 O 1.72-1.82
Cl 0.3333 0.6667 0.7987 (multiplicity 2)  1 K 3.08, 4 Ba 3.12-3.40, 3 O 3.40
O 0.0000 0.0000 0.3034 (multiplicity 2)  2 V 1.82
O 0.1597 0.3194 0.1491 (multiplicity 6)  1 V 1.72
O 0.1606 0.3212 0.4560 (multiplicity 6)  1 V 1.72

Values from the calculation:
The calculation puts the mass density at 4.1 g/cm3. Its total energy is -87.3 eV/f.u.